Density functional theory data (GGA+U) for a relaxed structure of Ag2W2O7.

Structure (CIF):
```
data_Ag2W2O7
_chemical_formula_sum 'Ag4 W4 O14'
_space_group_name_H-M_alt 'P 1'
_space_group_IT_number 1
_space_group_name_Hall 'P 1'
_cell_length_a 7.432
_cell_length_b 7.432
_cell_length_c 7.432
_cell_angle_alpha 60.00
_cell_angle_beta 60.00
_cell_angle_gamma 60.00
loop_
_atom_site_label
_atom_site_type_symbol
_atom_site_fract_x
_atom_site_fract_y
_atom_site_fract_z
Ag1 Ag 0.000 0.000 0.000
Ag2 Ag 0.000 0.000 0.500
Ag3 Ag 0.000 0.500 0.000
Ag4 Ag 0.500 0.000 0.000
W1 W 0.000 0.500 0.500
W2 W 0.500 0.000 0.500
W3 W 0.500 0.500 0.000
W4 W 0.500 0.500 0.500
O1 O 0.125 0.125 0.125
O2 O 0.193 0.193 0.557
O3 O 0.193 0.557 0.193
O4 O 0.193 0.557 0.557
O5 O 0.443 0.443 0.807
O6 O 0.443 0.807 0.443
O7 O 0.443 0.807 0.807
O8 O 0.557 0.193 0.193
O9 O 0.557 0.193 0.557
O10 O 0.557 0.557 0.193
O11 O 0.807 0.443 0.443
O12 O 0.807 0.443 0.807
O13 O 0.807 0.807 0.443
O14 O 0.875 0.875 0.875
```

Summary:
The total DFT energy (no corrections) is -138.7 eV/cell. The calculation puts the total magnetic moment at 0.02 μB per cell. The calculation puts the density of states at the Fermi level at 5.3 states/eV/cell.